(1)
## Mg2IrAu2 (GGA-PBE)

Data for a relaxed Mg2IrAu2 crystal.

ΔE_f: -0.9 eV per formula unit
theoretical density: 11.90 g/cm³
space group: P4/mbm (127)

abc: 7.2598 7.2598 3.3615
angles: 90.00 90.00 90.00
With the nearest neighbours (Å) after each atom.
Atoms (fractional coordinates):
Mg 0.1694 0.6694 0.5000  6 Au 2.62-2.79
Mg 0.6694 0.8306 0.5000  6 Au 2.62-2.79
Mg 0.8306 0.3306 0.5000  6 Au 2.62-2.79
Mg 0.3306 0.1694 0.5000  6 Au 2.62-2.79
Ir 0.0000 0.0000 0.0000  4 Au 2.82
Ir 0.5000 0.5000 0.0000  4 Au 2.82
Au 0.3647 0.8647 0.0000  6 Mg 2.62-2.79, 1 Au 2.78, 2 Ir 2.82
Au 0.8647 0.6353 0.0000  6 Mg 2.62-2.79, 1 Au 2.78, 2 Ir 2.82
Au 0.6353 0.1353 0.0000  6 Mg 2.62-2.79, 1 Au 2.78, 2 Ir 2.82
Au 0.1353 0.3647 0.0000  6 Mg 2.62-2.79, 1 Au 2.78, 2 Ir 2.82

=====

(2)
## MgIrAu2 (GGA-PBE)

Data for a relaxed MgIrAu2 crystal.

ΔE_f: -0.4 eV per formula unit
theoretical density: 15.07 g/cm³
space group: Pm (6)

abc: 4.0059 2.8996 6.4735
angles: 63.48 90.00 90.00
With the nearest neighbours (Å) after each atom.
Atoms (fractional coordinates):
Au 0.0000 0.0066 0.9928  2 Ir 2.81-2.98, 4 Mg 2.87-2.88, 6 Au 2.90-2.92
Au 0.5000 0.2389 0.2607  2 Mg 2.77-3.02, 4 Ir 2.86, 6 Au 2.90-2.92
Ir 0.0000 0.4925 0.5077  6 Au 2.81-2.98, 4 Mg 2.81, 2 Ir 2.90
Mg 0.5000 0.7620 0.7388  6 Au 2.77-3.02, 4 Ir 2.81, 2 Mg 2.90

=====

(3)
## MgIrAu2 (GGA-PBE)

Data for a relaxed MgIrAu2 crystal.

ΔE_f: -0.2 eV per formula unit
theoretical density: 15.08 g/cm³
space group: P2/m (10)

abc: 4.0166 2.9064 6.4476
angles: 63.30 90.00 90.00
With the nearest neighbours (Å) after each atom.
Atoms (fractional coordinates):
Au 0.0000 0.9987 0.0015  4 Ir 2.86, 4 Au 2.86-2.91, 4 Mg 2.87
Au 0.0000 0.5013 0.4985  4 Ir 2.86, 4 Au 2.86-2.91, 4 Mg 2.87
Ir 0.5000 0.2500 0.2500  8 Au 2.86, 2 Mg 2.88, 2 Ir 2.91
Mg 0.5000 0.7500 0.7500  8 Au 2.87, 2 Ir 2.88, 2 Mg 2.91

=====

(4)
## MgIrAu2 (GGA-PBE)

Data for a relaxed MgIrAu2 crystal.

ΔE_f: 0.6 eV per formula unit
theoretical density: 13.84 g/cm³
space group: I-42d (122)

abc: 3.9012 3.9012 10.0095
angles: 78.76 78.76 90.00
With the nearest neighbours (Å) after each atom.
Atoms (fractional coordinates):
Mg 0.5000 0.5000 0.0000  4 Ir 2.76, 4 Au 2.78
Mg 0.2500 0.7500 0.5000  4 Ir 2.76, 4 Au 2.78
Ir 0.0000 0.0000 0.0000  4 Mg 2.76, 4 Au 2.77
Ir 0.7500 0.2500 0.5000  4 Mg 2.76, 4 Au 2.77
Au 0.6291 0.1250 0.2500  4 Au 2.74-2.78, 2 Ir 2.77, 2 Mg 2.78
Au 0.1209 0.6250 0.2500  4 Au 2.74-2.78, 2 Ir 2.77, 2 Mg 2.78
Au 0.3750 0.3709 0.7500  4 Au 2.74-2.78, 2 Ir 2.77, 2 Mg 2.78
Au 0.8750 0.8791 0.7500  4 Au 2.74-2.78, 2 Ir 2.77, 2 Mg 2.78

=====

(5)
## Mg5IrAu4 (GGA-PBE)

Data for a relaxed Mg5IrAu4 crystal.

ΔE_f: -5.5 eV per formula unit
theoretical density: 10.53 g/cm³
space group: P4/mmm (123)

abc: 3.3093 3.3093 15.8598
angles: 90.00 90.00 90.00
With the nearest neighbours (Å) after each atom.
Atoms (fractional coordinates):
Mg 0.5000 0.5000 0.0901  4 Ir 2.74, 4 Au 2.85, 1 Mg 2.86
Mg 0.5000 0.5000 0.2956  8 Au 2.83-2.85
Mg 0.5000 0.5000 0.5000  8 Au 2.86
Mg 0.5000 0.5000 0.7044  8 Au 2.83-2.85
Mg 0.5000 0.5000 0.9099  4 Ir 2.74, 4 Au 2.85, 1 Mg 2.86
Ir 0.0000 0.0000 0.0000  8 Mg 2.74, 2 Au 3.06
Au 0.0000 0.0000 0.1929  8 Mg 2.85, 1 Ir 3.06
Au 0.0000 0.0000 0.3959  8 Mg 2.83-2.86
Au 0.0000 0.0000 0.6041  8 Mg 2.83-2.86
Au 0.0000 0.0000 0.8071  8 Mg 2.85, 1 Ir 3.06

=====

(6)
## Mg2Ir2Au (GGA-PBE)

Data for a relaxed Mg2Ir2Au crystal.

ΔE_f: -0.8 eV per formula unit
theoretical density: 11.69 g/cm³
space group: P4/mbm (127)
relative energy among the computed polymorphs: 0.000 eV/f.u.

abc: 6.7111 6.7111 3.9730
angles: 90.00 90.00 90.00
With the nearest neighbours (Å) after each atom.
Atoms (fractional coordinates):
Mg 0.1704 0.6704 0.5000  6 Ir 2.75-2.84
Mg 0.6704 0.8296 0.5000  6 Ir 2.75-2.84
Mg 0.8296 0.3296 0.5000  6 Ir 2.75-2.84
Mg 0.3296 0.1704 0.5000  6 Ir 2.75-2.84
Ir 0.3709 0.8709 0.0000  1 Ir 2.45, 2 Au 2.64
Ir 0.8709 0.6291 0.0000  1 Ir 2.45, 2 Au 2.64
Ir 0.6291 0.1291 0.0000  1 Ir 2.45, 2 Au 2.64
Ir 0.1291 0.3709 0.0000  1 Ir 2.45, 2 Au 2.64
Au 0.0000 0.0000 0.0000  4 Ir 2.64
Au 0.5000 0.5000 0.0000  4 Ir 2.64

=====

(7)
## Mg3IrAu2 (GGA-PBE)

Data for a relaxed Mg3IrAu2 crystal.

ΔE_f: -3.1 eV per formula unit
theoretical density: 10.72 g/cm³
space group: P4/mmm (123)

abc: 3.1833 3.1833 10.0788
angles: 90.00 90.00 90.00
With the nearest neighbours (Å) after each atom.
Atoms (fractional coordinates):
Mg 0.0000 0.0000 0.0000  8 Au 2.87, 4 Mg 3.18
Mg 0.0000 0.0000 0.6481  4 Ir 2.70, 4 Au 2.87, 1 Mg 2.98
Mg 0.0000 0.0000 0.3519  4 Ir 2.70, 4 Au 2.87, 1 Mg 2.98
Ir 0.5000 0.5000 0.5000  8 Mg 2.70
Au 0.5000 0.5000 0.8241  8 Mg 2.87, 4 Au 3.18
Au 0.5000 0.5000 0.1759  8 Mg 2.87, 4 Au 3.18

=====

(8)
## Mg2Ir2Au (GGA-PBE)

Data for a relaxed Mg2Ir2Au crystal.

ΔE_f: 0.3 eV per formula unit
theoretical density: 12.58 g/cm³
space group: P4/mbm (127)
relative energy among the computed polymorphs: 1.166 eV/f.u.

abc: 7.7284 7.7284 2.7845
angles: 90.00 90.00 90.00
With the nearest neighbours (Å) after each atom.
Atoms (fractional coordinates):
Mg 0.3672 0.8672 0.0000  6 Ir 2.61-2.70, 3 Mg 2.78-2.90
Mg 0.8672 0.6328 0.0000  6 Ir 2.61-2.70, 3 Mg 2.78-2.90
Mg 0.6328 0.1328 0.0000  6 Ir 2.61-2.70, 3 Mg 2.78-2.90
Mg 0.1328 0.3672 0.0000  6 Ir 2.61-2.70, 3 Mg 2.78-2.90
Ir 0.1649 0.6649 0.5000  6 Mg 2.61-2.70, 2 Ir 2.78
Ir 0.6649 0.8351 0.5000  6 Mg 2.61-2.70, 2 Ir 2.78
Ir 0.8351 0.3351 0.5000  6 Mg 2.61-2.70, 2 Ir 2.78
Ir 0.3351 0.1649 0.5000  6 Mg 2.61-2.70, 2 Ir 2.78
Au 0.0000 0.0000 0.0000  2 Au 2.78, 4 Mg 3.02
Au 0.5000 0.5000 0.0000  2 Au 2.78, 4 Mg 3.02

=====

(9)
## MgIrAu2 (GGA-PBE)

Data for a relaxed MgIrAu2 crystal.

ΔE_f: -0.5 eV per formula unit
theoretical density: 15.08 g/cm³
space group: Cm (8)

abc: 4.9773 4.9773 4.7547
angles: 77.09 77.09 35.95
With the nearest neighbours (Å) after each atom.
Atoms (fractional coordinates):
Au 0.9973 0.9973 0.0030  4 Ir 2.81-2.85, 3 Mg 2.86-2.89, 5 Au 2.86-3.07
Au 0.7539 0.7539 0.7428  4 Mg 2.79-2.88, 3 Ir 2.83-2.88, 5 Au 2.86-3.07
Ir 0.5034 0.5034 0.4962  3 Mg 2.77-2.92, 7 Au 2.81-2.88, 2 Ir 3.07
Mg 0.2454 0.2454 0.2580  3 Ir 2.77-2.92, 7 Au 2.79-2.89, 2 Mg 3.07

=====

(10)
## Mg2IrAuN (GGA-PBE)

Data for a relaxed Mg2IrAuN crystal.

E_form (uncorrected): -166 kJ/mol of formula units
theoretical density: 9.88 g/cm³
space group: P4/mmm (123)

abc: 4.4607 4.4607 3.8177
angles: 90.00 90.00 90.00
With the nearest neighbours (Å) after each atom.
Atoms (fractional coordinates):
Mg 0.0000 0.5000 0.0000  2 N 2.23
Mg 0.5000 0.0000 0.0000  2 N 2.23
Ir 0.0000 0.0000 0.5000  2 N 1.91
Au 0.5000 0.5000 0.5000  8 Mg 2.94, 4 Ir 3.15
N 0.0000 0.0000 0.0000  2 Ir 1.91

=====

(11)
## NdMgIrAu (GGA-PBE)

Data for a relaxed NdMgIrAu crystal.

ΔE_f: -2.0 eV per formula unit
theoretical density: 11.15 g/cm³
space group: F-43m (216)

abc: 4.8980 4.8980 4.8980
angles: 60.00 60.00 60.00
With the nearest neighbours (Å) after each atom.
Atoms (fractional coordinates):
Nd 0.7500 0.7500 0.7500  4 Ir 3.00, 4 Au 3.00
Mg 0.2500 0.2500 0.2500  4 Ir 3.00, 4 Au 3.00
Ir 0.5000 0.5000 0.5000  4 Mg 3.00, 4 Nd 3.00
Au 0.0000 0.0000 0.0000  4 Mg 3.00, 4 Nd 3.00

=====

(12)
## MgIr2OsAu (GGA-PBE)

Data for a relaxed MgIr2OsAu crystal.

ΔE_f: 6.0 eV per formula unit
theoretical density: 12.28 g/cm³
space group: P4/mmm (123)

abc: 4.7084 4.8551 4.7084
angles: 90.00 90.00 90.00
With the nearest neighbours (Å) after each atom.
Atoms (fractional coordinates):
Os 0.0000 0.0000 0.0000  4 Ir 2.35, 2 Mg 2.43
Mg 0.0000 0.5000 0.0000  2 Os 2.43
Ir 0.0000 0.0000 0.5000  2 Os 2.35
Ir 0.5000 0.0000 0.0000  2 Os 2.35
Au 0.5000 0.5000 0.5000  4 Mg 3.33, 8 Ir 3.38

=====

Number 1: calculated volume 17.72 Å³ per atom. Number 2: calculated volume 16.82 Å³ per atom. Number 3: calculated volume 16.81 Å³ per atom. Number 4: calculated volume 18.30 Å³ per atom. Number 5: calculated volume 17.37 Å³ per atom. Number 6: calculated volume 17.89 Å³ per atom. Number 7: calculated volume 17.02 Å³ per atom. Number 8: calculated volume 16.63 Å³ per atom. Number 9: calculated volume 16.80 Å³ per atom. Number 10: calculated volume 15.19 Å³ per atom. Number 11: calculated volume 20.77 Å³ per atom. Number 12: calculated volume 21.53 Å³ per atom.